(1)
This record from OQMD via LeMat-Bulk describes a geometry-optimized Ta4Cu3W2C3 structure. The functional is PBE-GGA.

Calculated values
electronic total energy: -454.732 eV per cell

CIF file:
```
data_Ta4Cu3W2C3
_cell_length_a 9.305
_cell_length_b 5.378
_cell_length_c 13.427
_cell_angle_alpha 90.00
_cell_angle_beta 103.33
_cell_angle_gamma 90.00
_space_group_name_H-M_alt 'C 1 2/c 1'
_space_group_IT_number 15
_space_group_name_Hall '-C 2yc'
loop_
_atom_site_label
_atom_site_type_symbol
_atom_site_fract_x
_atom_site_fract_y
_atom_site_fract_z
Ta1 Ta 0.115 0.082 0.096
Ta2 Ta 0.217 0.085 0.404
Cu1 Cu 0.000 0.131 0.750
Cu2 Cu 0.144 0.440 0.249
W1 W 0.057 0.416 0.918
C1 C 0.085 0.244 0.500
C2 C 0.250 0.250 0.000
```

(2)
This record from OQMD via LeMat-Bulk describes a geometry-optimized Sr2HfP6W structure. The functional is PBE-GGA.

Calculated values
electronic total energy: -189.586 eV per cell

CIF file:
```
data_Sr2HfP6W
_cell_length_a 7.3939
_cell_length_b 7.3939
_cell_length_c 14.5794
_cell_angle_alpha 90.00
_cell_angle_beta 90.00
_cell_angle_gamma 120.00
_space_group_name_H-M_alt 'R -3'
_space_group_IT_number 148
_space_group_name_Hall '-R 3'
loop_
_atom_site_label
_atom_site_type_symbol
_atom_site_fract_x
_atom_site_fract_y
_atom_site_fract_z
Sr1 Sr 0.0000 0.0000 0.2479
Hf1 Hf 0.0000 0.0000 0.5000
P1 P 0.0088 0.5123 0.7487
W1 W 0.0000 0.0000 0.0000
```

(3)
This record from OQMD via LeMat-Bulk describes a geometry-optimized LuNiBPd structure. The functional is PBE-GGA.

Calculated values
excess energy over the best structure of this formula in the dataset: 0 meV per atom

CIF file:
```
data_LuNiBPd
_cell_length_a 6.063
_cell_length_b 6.063
_cell_length_c 6.063
_cell_angle_alpha 90.00
_cell_angle_beta 90.00
_cell_angle_gamma 90.00
_space_group_name_H-M_alt 'F -4 3 m'
_space_group_IT_number 216
_space_group_name_Hall 'F -4 2 3'
loop_
_atom_site_label
_atom_site_type_symbol
_atom_site_fract_x
_atom_site_fract_y
_atom_site_fract_z
Lu1 Lu 0.000 0.000 0.000
Ni1 Ni 0.250 0.250 0.750
B1 B 0.250 0.250 0.250
Pd1 Pd 0.000 0.000 0.500
```

(4)
This record from OQMD via LeMat-Bulk describes a geometry-optimized YErSi2Mo2N structure. The functional is PBE-GGA.

Calculated values
electronic total energy: -114.969 eV per cell

CIF file:
```
data_YErSi2Mo2N
_cell_length_a 11.163
_cell_length_b 3.717
_cell_length_c 7.118
_cell_angle_alpha 90.00
_cell_angle_beta 125.75
_cell_angle_gamma 90.00
_space_group_name_H-M_alt 'C 1 m 1'
_space_group_IT_number 8
_space_group_name_Hall 'C -2y'
loop_
_atom_site_label
_atom_site_type_symbol
_atom_site_fract_x
_atom_site_fract_y
_atom_site_fract_z
Y1 Y 0.000 0.000 0.000
Er1 Er 0.148 0.000 0.591
Si1 Si 0.206 0.500 0.958
Si2 Si 0.443 0.000 0.634
Mo1 Mo 0.278 0.500 0.382
Mo2 Mo 0.371 0.000 0.212
N1 N 0.076 0.500 0.300
```

(5)
This record from OQMD via LeMat-Bulk describes a geometry-optimized LiGeAu3O4 structure. The functional is PBE-GGA.

Calculated values
electronic total energy: -36.027 eV per cell

CIF file:
```
data_LiGeAu3O4
_cell_length_a 5.104
_cell_length_b 5.104
_cell_length_c 5.104
_cell_angle_alpha 90.00
_cell_angle_beta 90.00
_cell_angle_gamma 90.00
_space_group_name_H-M_alt 'P -4 3 m'
_space_group_IT_number 215
_space_group_name_Hall 'P -4 2 3'
loop_
_atom_site_label
_atom_site_type_symbol
_atom_site_fract_x
_atom_site_fract_y
_atom_site_fract_z
Li1 Li 0.000 0.000 0.000
Ge1 Ge 0.500 0.500 0.500
Au1 Au 0.000 0.500 0.500
O1 O 0.227 0.227 0.227
```

(6)
This record from OQMD via LeMat-Bulk describes a geometry-optimized KZn4 structure. The functional is PBE-GGA.

Calculated values
electronic total energy: -11.817 eV per cell

CIF file:
```
data_KZn4
_cell_length_a 4.435
_cell_length_b 4.435
_cell_length_c 10.930
_cell_angle_alpha 90.00
_cell_angle_beta 90.00
_cell_angle_gamma 90.00
_space_group_name_H-M_alt 'I 4/m m m'
_space_group_IT_number 139
_space_group_name_Hall '-I 4 2'
loop_
_atom_site_label
_atom_site_type_symbol
_atom_site_fract_x
_atom_site_fract_y
_atom_site_fract_z
K1 K 0.000 0.000 0.000
Zn1 Zn 0.000 0.000 0.379
Zn2 Zn 0.000 0.500 0.250
```

(7)
This record from OQMD via LeMat-Bulk describes a geometry-optimized BaPr2Se3 structure. The functional is PBE-GGA.

Calculated values
electronic total energy: -33.328 eV per cell

CIF file:
```
data_BaPr2Se3
_cell_length_a 4.3791
_cell_length_b 4.3791
_cell_length_c 10.8249
_cell_angle_alpha 90.00
_cell_angle_beta 90.00
_cell_angle_gamma 120.00
_space_group_name_H-M_alt 'P -3 m 1'
_space_group_IT_number 164
_space_group_name_Hall '-P 3 2"'
loop_
_atom_site_label
_atom_site_type_symbol
_atom_site_fract_x
_atom_site_fract_y
_atom_site_fract_z
Ba1 Ba 0.0000 0.0000 0.0000
Pr1 Pr 0.3333 0.6667 0.6501
Se1 Se 0.0000 0.0000 0.5000
Se2 Se 0.3333 0.6667 0.1889
```

(8)
This record from OQMD via LeMat-Bulk describes a geometry-optimized BeGaBiOs structure. The functional is PBE-GGA.

Calculated values
excess energy over the best structure of this formula in the dataset: 28 meV per atom

CIF file:
```
data_BeGaBiOs
_cell_length_a 6.495
_cell_length_b 6.495
_cell_length_c 6.495
_cell_angle_alpha 90.00
_cell_angle_beta 90.00
_cell_angle_gamma 90.00
_space_group_name_H-M_alt 'F -4 3 m'
_space_group_IT_number 216
_space_group_name_Hall 'F -4 2 3'
loop_
_atom_site_label
_atom_site_type_symbol
_atom_site_fract_x
_atom_site_fract_y
_atom_site_fract_z
Be1 Be 0.000 0.000 0.000
Ga1 Ga 0.000 0.000 0.500
Bi1 Bi 0.250 0.250 0.750
Os1 Os 0.250 0.250 0.250
```

Copy entry 3 word for word.
This record from OQMD via LeMat-Bulk describes a geometry-optimized LuNiBPd structure. The functional is PBE-GGA.

Calculated values
excess energy over the best structure of this formula in the dataset: 0 meV per atom

CIF file:
```
data_LuNiBPd
_cell_length_a 6.063
_cell_length_b 6.063
_cell_length_c 6.063
_cell_angle_alpha 90.00
_cell_angle_beta 90.00
_cell_angle_gamma 90.00
_space_group_name_H-M_alt 'F -4 3 m'
_space_group_IT_number 216
_space_group_name_Hall 'F -4 2 3'
loop_
_atom_site_label
_atom_site_type_symbol
_atom_site_fract_x
_atom_site_fract_y
_atom_site_fract_z
Lu1 Lu 0.000 0.000 0.000
Ni1 Ni 0.250 0.250 0.750
B1 B 0.250 0.250 0.250
Pd1 Pd 0.000 0.000 0.500
```